# 1
Below is an optimized crystal structure of Er2ScAl3CuSn2, with properties calculated at the PBE level.

```
Er2ScAl3CuSn2
1.0
4.193 0.000 0.000
0.000 6.157 3.640
0.000 -6.157 3.640
Er Sc Al Cu Sn
2 1 3 1 2
direct
0.000 0.194 0.806
0.000 0.806 0.194
0.000 0.575 0.575
0.500 0.196 0.424
0.500 0.424 0.196
0.500 0.979 0.979
0.000 0.205 0.205
0.500 0.534 0.854
0.500 0.854 0.534
```

VASP energy (eV/atom): -4.78


# 2
Below is an optimized crystal structure of Li4CdInAu2, with properties calculated at the PBE level.

```
Li4CdInAu2
1.0
4.563 0.000 0.000
0.000 4.563 0.000
0.000 0.000 6.473
Li Cd In Au
4 1 1 2
direct
0.000 0.000 0.000
0.000 0.500 0.743
0.500 0.000 0.257
0.500 0.500 0.500
0.000 0.000 0.500
0.500 0.500 0.000
0.000 0.500 0.247
0.500 0.000 0.753
```

VASP energy (eV/atom): -2.67


# 3
Below is an optimized crystal structure of Li2SbPt, with properties calculated at the PBE level.

```
Li2SbPt
1.0
0.000 3.162 3.162
3.162 0.000 3.162
3.162 3.162 0.000
Li Sb Pt
2 1 1
direct
0.000 0.000 0.000
0.250 0.250 0.250
0.500 0.500 0.500
0.750 0.750 0.750
```

VASP energy (eV/atom): -4.18


# 4
Below is an optimized crystal structure of TlAuSeO, with properties calculated at the PBE level.

```
TlAuSeO
1.0
3.771 0.000 0.000
0.000 7.721 0.000
0.000 0.000 6.261
Tl Au Se O
2 2 2 2
direct
0.000 0.157 0.000
0.000 0.843 0.500
0.500 0.426 0.529
0.500 0.574 0.029
0.000 0.204 0.533
0.000 0.796 0.033
0.500 0.305 0.047
0.500 0.695 0.547
```

VASP energy (eV/atom): -3.64
E above lowest polymorph (eV per atom): 0.1859


# 5
Below is an optimized crystal structure of PaTaIn, with properties calculated at the PBE level.

```
PaTaIn
1.0
0.000 3.457 3.457
3.457 0.000 3.457
3.457 3.457 0.000
Pa Ta In
1 1 1
direct
0.000 0.000 0.000
0.250 0.250 0.250
0.750 0.750 0.750
```

VASP energy (eV/atom): -6.76
E above lowest polymorph (eV per atom): 0.3444


# 6
Below is an optimized crystal structure of CdHgTe2, with properties calculated at the PBE level.

```
CdHgTe2
1.0
4.682 0.000 0.000
-2.341 4.054 0.000
0.000 0.000 7.644
Cd Hg Te
1 1 2
direct
0.000 0.000 0.000
0.333 0.667 0.502
0.000 0.000 0.375
0.333 0.667 0.880
```

VASP energy (eV/atom): -2.18
E above lowest polymorph (eV per atom): 0.0048


# 7
Below is an optimized crystal structure of In2Ni3Se2, with properties calculated at the PBE level.

```
In2Ni3Se2
1.0
2.721 1.571 4.774
-2.721 1.571 4.774
0.000 -3.142 4.774
In Ni Se
2 3 2
direct
0.000 0.000 0.000
0.500 0.500 0.500
0.000 0.500 0.500
0.500 0.000 0.500
0.500 0.500 0.000
0.217 0.217 0.217
0.783 0.783 0.783
```

VASP energy (eV/atom): -4.49


# 8
Below is an optimized crystal structure of Dy3Tm2Bi3, with properties calculated at the PBE level.

```
Dy3Tm2Bi3
1.0
9.111 0.000 0.000
-4.556 7.890 0.000
0.000 0.000 6.339
Dy Tm Bi
6 4 6
direct
0.000 0.244 0.250
0.000 0.756 0.750
0.244 0.000 0.250
0.244 0.244 0.750
0.756 0.000 0.750
0.756 0.756 0.250
0.333 0.667 0.000
0.333 0.667 0.500
0.667 0.333 0.000
0.667 0.333 0.500
0.000 0.391 0.750
0.000 0.609 0.250
0.391 0.000 0.750
0.391 0.391 0.250
0.609 0.000 0.250
0.609 0.609 0.750
```

VASP energy (eV/atom): -5.04


# 9
Below is an optimized crystal structure of Sc2GaCo3, with properties calculated at the PBE level.

```
Sc2GaCo3
1.0
5.025 0.000 0.000
-2.512 4.351 0.000
0.000 0.000 7.780
Sc Ga Co
4 2 6
direct
0.333 0.667 0.065
0.333 0.667 0.435
0.667 0.333 0.565
0.667 0.333 0.935
0.000 0.000 0.000
0.000 0.000 0.500
0.175 0.349 0.750
0.175 0.825 0.750
0.349 0.175 0.250
0.651 0.825 0.750
0.825 0.175 0.250
0.825 0.651 0.250
```

VASP energy (eV/atom): -6.61


# 10
Below is an optimized crystal structure of BeNbInNi, with properties calculated at the PBE level.

```
BeNbInNi
1.0
0.000 3.104 3.104
3.104 0.000 3.104
3.104 3.104 0.000
Be Nb In Ni
1 1 1 1
direct
0.000 0.000 0.000
0.250 0.250 0.250
0.500 0.500 0.500
0.750 0.750 0.750
```

VASP energy (eV/atom): -5.21
E above lowest polymorph (eV per atom): 0.2521


# 11
Below is an optimized crystal structure of AcPuSi, with properties calculated at the PBE level.

```
AcPuSi
1.0
0.000 3.619 3.619
3.619 0.000 3.619
3.619 3.619 0.000
Ac Pu Si
1 1 1
direct
0.000 0.000 0.000
0.500 0.500 0.500
0.250 0.250 0.250
```

VASP energy (eV/atom): -8.05
E above lowest polymorph (eV per atom): 0.2895


# 12
Below is an optimized crystal structure of ZnGeW4N2, with properties calculated at the PBE level.

```
ZnGeW4N2
1.0
2.849 0.000 0.000
-1.424 2.467 0.000
0.000 0.000 14.722
Zn Ge W N
1 1 4 2
direct
0.000 0.000 0.000
0.333 0.667 0.500
0.000 0.000 0.351
0.000 0.000 0.649
0.333 0.667 0.154
0.333 0.667 0.846
0.667 0.333 0.252
0.667 0.333 0.748
```

VASP energy (eV/atom): -9.12


# 13
Below is an optimized crystal structure of ScAl2Cu4Ni, with properties calculated at the PBE level.

```
ScAl2Cu4Ni
1.0
4.248 0.000 0.000
0.000 4.248 0.000
0.000 0.000 5.972
Sc Al Cu Ni
1 2 4 1
direct
0.000 0.000 0.000
0.000 0.000 0.500
0.500 0.500 0.000
0.000 0.500 0.268
0.000 0.500 0.732
0.500 0.000 0.268
0.500 0.000 0.732
0.500 0.500 0.500
```

VASP energy (eV/atom): -4.52
E above lowest polymorph (eV per atom): 0.0000


# 14
Below is an optimized crystal structure of TbOsNO, with properties calculated at the PBE level.

```
TbOsNO
1.0
3.817 0.000 0.000
0.000 3.817 0.000
0.000 0.000 7.587
Tb Os N O
2 2 2 2
direct
0.250 0.250 0.151
0.750 0.750 0.849
0.250 0.750 0.500
0.750 0.250 0.500
0.250 0.250 0.624
0.750 0.750 0.376
0.250 0.750 0.000
0.750 0.250 0.000
```

VASP energy (eV/atom): -8.55
E above lowest polymorph (eV per atom): 0.1756


# 15
Below is an optimized crystal structure of NaYFeSe3, with properties calculated at the PBE level.

```
NaYFeSe3
1.0
2.016 -6.739 0.000
2.016 6.739 0.000
0.000 0.000 10.759
Na Y Fe Se
2 2 2 6
direct
0.245 0.755 0.750
0.755 0.245 0.250
0.000 0.000 0.000
0.000 0.000 0.500
0.471 0.529 0.250
0.529 0.471 0.750
0.080 0.920 0.250
0.362 0.638 0.072
0.362 0.638 0.428
0.638 0.362 0.572
0.638 0.362 0.928
0.920 0.080 0.750
```

VASP energy (eV/atom): -5.55
E above lowest polymorph (eV per atom): 0.0276


# 16
Below is an optimized crystal structure of LiCd, with properties calculated at the PBE level.

```
LiCd
1.0
3.916 0.000 0.000
-1.958 3.392 0.000
0.000 0.000 5.922
Li Cd
2 2
direct
0.333 0.667 0.250
0.667 0.333 0.750
0.000 0.000 0.000
0.000 0.000 0.500
```

VASP energy (eV/atom): -1.41


# 17
Below is an optimized crystal structure of RbSiAgTe2Se, with properties calculated at the PBE level.

```
RbSiAgTe2Se
1.0
1.922 -8.140 0.000
1.922 8.140 0.000
0.000 0.000 11.150
Rb Si Ag Te Se
2 2 2 4 2
direct
0.240 0.760 0.750
0.760 0.240 0.250
0.500 0.500 0.000
0.500 0.500 0.500
0.064 0.936 0.250
0.936 0.064 0.750
0.121 0.879 0.021
0.121 0.879 0.479
0.879 0.121 0.521
0.879 0.121 0.979
0.452 0.548 0.250
0.548 0.452 0.750
```

VASP energy (eV/atom): -3.37


# 18
Below is an optimized crystal structure of Hg2Bi2Se5, with properties calculated at the PBE level.

```
Hg2Bi2Se5
1.0
4.169 0.000 0.000
-2.085 3.611 0.000
0.000 0.000 16.427
Hg Bi Se
2 2 5
direct
0.333 0.667 0.400
0.667 0.333 0.600
0.000 0.000 0.184
0.000 0.000 0.816
0.000 0.000 0.500
0.333 0.667 0.088
0.333 0.667 0.699
0.667 0.333 0.301
0.667 0.333 0.912
```

VASP energy (eV/atom): -3.15


# 19
Below is an optimized crystal structure of HfPtAu, with properties calculated at the PBE level.

```
HfPtAu
1.0
0.000 3.151 3.151
3.151 0.000 3.151
3.151 3.151 0.000
Hf Pt Au
1 1 1
direct
0.000 0.000 0.000
0.750 0.750 0.750
0.500 0.500 0.500
```

VASP energy (eV/atom): -6.96
E above lowest polymorph (eV per atom): 0.3900
Energy of formation (meV/atom): -537


# 20
Below is an optimized crystal structure of NaGdNp, with properties calculated at the PBE level.

```
NaGdNp
1.0
0.000 3.716 3.716
3.716 0.000 3.716
3.716 3.716 0.000
Na Gd Np
1 1 1
direct
0.000 0.000 0.000
0.750 0.750 0.750
0.250 0.250 0.250
```

VASP energy (eV/atom): -4.91